Entry 1:
DFT (GGA-PBE) results for a relaxed ZrSnS4 crystal.

Cell: 3.686 3.686 17.728 Å, 91.32 93.07 120.00°
Space group P1 (No. 1)
Inequivalent atoms, fractional coordinates:
Zr1 0.000 0.000 0.000 x1
Sn1 0.858 0.891 0.660 x1
S1 0.156 0.531 0.576 x1
S2 0.299 0.640 0.917 x1
S3 0.560 0.251 0.744 x1
S4 0.701 0.360 0.083 x1

Electronic total energy ... -5.79 eV/atom
E above lowest polymorph ... 0 kJ/mol of formula units

Entry 2:
DFT (GGA-PBE) results for a relaxed SrTb2S4 crystal.

Cell: 12.052 4.011 14.409 Å, 90.00 90.00 90.00°
Space group Pnma (No. 62)
Inequivalent atoms, fractional coordinates:
Sr1 0.242 0.250 0.162 x4
Tb1 0.067 0.250 0.390 x4
Tb2 0.082 0.250 0.899 x4
S1 0.025 0.750 0.784 x4
S2 0.087 0.250 0.579 x4
S3 0.130 0.750 0.028 x4
S4 0.206 0.750 0.324 x4

Electronic total energy ... -6.05 eV/atom

Entry 3:
DFT (GGA-PBE) results for a relaxed Sr2TbS3 crystal.

Cell: 4.1100 4.1100 10.2676 Å, 90.00 90.00 120.00°
Space group P-3m1 (No. 164)
Inequivalent atoms, fractional coordinates:
Sr1 0.3333 0.6667 0.1724 x2
Tb1 0.0000 0.0000 0.5000 x1
S1 0.0000 0.0000 0.0000 x1
S2 0.3333 0.6667 0.6505 x2

Electronic total energy ... -5.47 eV/atom